1.
# meta-GGA SCAN CoCuSb2, single point on PBEsol structure
# - Calculated volume: 67.9 Å³ per cell
# - Energy relative to the elements, uncorrected: 10.8 kcal/mol of atoms
# - Space group: P4/mmm (123)
data_CoCuSb2
_chemical_formula_sum 'Co1 Cu1 Sb2'
_space_group_name_H-M_alt 'P 1'
_space_group_IT_number 1
_cell_length_a 3.3489
_cell_length_b 4.5037
_cell_length_c 4.5037
_cell_angle_alpha 89.98
_cell_angle_beta 89.94
_cell_angle_gamma 89.94
loop_
_space_group_symop_operation_xyz
'x,y,z'
loop_
_atom_site_label
_atom_site_type_symbol
_atom_site_fract_x
_atom_site_fract_y
_atom_site_fract_z
Sb1 Sb 0.0000 0.5000 0.0000
Cu1 Cu 0.5000 0.5000 0.5000
Sb2 Sb 0.0000 0.0000 0.5000
Co1 Co 0.5000 0.0000 0.0000

2.
# meta-GGA SCAN Ni3HgS, single point on PBEsol structure
# - Calculated volume: 69.8 Å³ per cell
# - Energy relative to the elements, uncorrected: 0.5 kcal/mol of atoms
# - Space group: Pm-3m (221)
data_Ni3HgS
_chemical_formula_sum 'Ni3 Hg1 S1'
_space_group_name_H-M_alt 'P 1'
_space_group_IT_number 1
_cell_length_a 4.1175
_cell_length_b 4.1175
_cell_length_c 4.1175
_cell_angle_alpha 90.00
_cell_angle_beta 90.00
_cell_angle_gamma 90.00
loop_
_space_group_symop_operation_xyz
'x,y,z'
loop_
_atom_site_label
_atom_site_type_symbol
_atom_site_fract_x
_atom_site_fract_y
_atom_site_fract_z
Hg1 Hg 0.5000 0.5000 0.5000
Ni1 Ni 0.0000 0.5000 0.0000
Ni2 Ni 0.0000 0.0000 0.5000
S1 S 0.0000 0.0000 0.0000
Ni3 Ni 0.5000 0.0000 0.0000

3.
# meta-GGA SCAN BeSeO2F, single point on PBEsol structure
# - Calculated volume: 63.0 Å³ per cell
# - Energy relative to the elements, uncorrected: -2.0 kcal/mol of atoms
# - Space group: P4/mmm (123)
data_BeSeO2F
_chemical_formula_sum 'Be1 Se1 O2 F1'
_space_group_name_H-M_alt 'P 1'
_space_group_IT_number 1
_cell_length_a 3.8666
_cell_length_b 3.8666
_cell_length_c 4.2132
_cell_angle_alpha 90.00
_cell_angle_beta 90.00
_cell_angle_gamma 90.00
loop_
_space_group_symop_operation_xyz
'x,y,z'
loop_
_atom_site_label
_atom_site_type_symbol
_atom_site_fract_x
_atom_site_fract_y
_atom_site_fract_z
O1 O 0.5000 0.0000 0.0000
Se1 Se 0.0000 0.0000 0.0000
O2 O 0.0000 0.5000 0.0000
F1 F 0.0000 0.0000 0.5000
Be1 Be 0.5000 0.5000 0.5000

4.
# meta-GGA SCAN CuNi2Rh, single point on PBEsol structure
# - Calculated volume: 46.3 Å³ per cell
# - Space group: R-3m (166)
# - Formation energy: 67 meV/atom
data_CuNi2Rh
_chemical_formula_sum 'Cu1 Ni2 Rh1'
_space_group_name_H-M_alt 'P 1'
_space_group_IT_number 1
_cell_length_a 2.5601
_cell_length_b 2.5601
_cell_length_c 8.2910
_cell_angle_alpha 81.12
_cell_angle_beta 81.12
_cell_angle_gamma 60.00
loop_
_space_group_symop_operation_xyz
'x,y,z'
loop_
_atom_site_label
_atom_site_type_symbol
_atom_site_fract_x
_atom_site_fract_y
_atom_site_fract_z
Cu1 Cu 0.0000 0.0000 0.0000
Ni1 Ni 0.7482 0.7482 0.7554
Rh1 Rh 0.5000 0.5000 0.5000
Ni2 Ni 0.2518 0.2518 0.2446

5.
# meta-GGA SCAN K2SiAs, single point on PBEsol structure
# - Calculated volume: 105.3 Å³ per cell
# - Energy relative to the elements, uncorrected: 5.8 kcal/mol of atoms
# - Space group: I-4m2 (119)
data_K2SiAs
_chemical_formula_sum 'K2 Si1 As1'
_space_group_name_H-M_alt 'P 1'
_space_group_IT_number 1
_cell_length_a 5.0703
_cell_length_b 5.4446
_cell_length_c 5.0703
_cell_angle_alpha 117.75
_cell_angle_beta 90.00
_cell_angle_gamma 117.75
loop_
_space_group_symop_operation_xyz
'x,y,z'
loop_
_atom_site_label
_atom_site_type_symbol
_atom_site_fract_x
_atom_site_fract_y
_atom_site_fract_z
As1 As 0.2500 0.5000 0.7500
Si1 Si 0.5000 0.0000 0.5000
K1 K 0.7500 0.5000 0.2500
K2 K 0.0000 0.0000 0.0000

6.
# meta-GGA SCAN Be3PtN, single point on PBEsol structure
# - Calculated volume: 44.8 Å³ per cell
# - Energy relative to the elements, uncorrected: -12.3 kcal/mol of atoms
# - Space group: Pm-3m (221)
data_Be3PtN
_chemical_formula_sum 'Be3 Pt1 N1'
_space_group_name_H-M_alt 'P 1'
_space_group_IT_number 1
_cell_length_a 3.5523
_cell_length_b 3.5523
_cell_length_c 3.5523
_cell_angle_alpha 90.00
_cell_angle_beta 90.00
_cell_angle_gamma 90.00
loop_
_space_group_symop_operation_xyz
'x,y,z'
loop_
_atom_site_label
_atom_site_type_symbol
_atom_site_fract_x
_atom_site_fract_y
_atom_site_fract_z
N1 N 0.0000 0.0000 0.0000
Be1 Be 0.0000 0.5000 0.0000
Be2 Be 0.0000 0.0000 0.5000
Pt1 Pt 0.5000 0.5000 0.5000
Be3 Be 0.5000 0.0000 0.0000

7.
# meta-GGA SCAN MgPb2Au, single point on PBEsol structure
# - Calculated volume: 95.4 Å³ per cell
# - Space group: P4mm (99)
# - Formation energy: -274 meV/atom
data_MgPb2Au
_chemical_formula_sum 'Mg1 Pb2 Au1'
_space_group_name_H-M_alt 'P 1'
_space_group_IT_number 1
_cell_length_a 3.3974
_cell_length_b 3.3974
_cell_length_c 8.2608
_cell_angle_alpha 90.00
_cell_angle_beta 90.00
_cell_angle_gamma 90.00
loop_
_space_group_symop_operation_xyz
'x,y,z'
loop_
_atom_site_label
_atom_site_type_symbol
_atom_site_fract_x
_atom_site_fract_y
_atom_site_fract_z
Mg1 Mg 0.5000 0.5000 0.7006
Au1 Au 0.0000 0.0000 0.5373
Pb1 Pb 0.0000 0.0000 0.9666
Pb2 Pb 0.5000 0.5000 0.2955

8.
# meta-GGA SCAN MgSn2TeP, single point on PBEsol structure
# - Calculated volume: 169.9 Å³ per cell
# - Energy relative to the elements, uncorrected: 21.0 kcal/mol of atoms
# - Space group: P4/mmm (123)
data_MgSn2TeP
_chemical_formula_sum 'Mg1 Sn2 Te1 P1'
_space_group_name_H-M_alt 'P 1'
_space_group_IT_number 1
_cell_length_a 5.1221
_cell_length_b 5.7600
_cell_length_c 5.7600
_cell_angle_alpha 90.00
_cell_angle_beta 90.00
_cell_angle_gamma 90.00
loop_
_space_group_symop_operation_xyz
'x,y,z'
loop_
_atom_site_label
_atom_site_type_symbol
_atom_site_fract_x
_atom_site_fract_y
_atom_site_fract_z
Sn1 Sn 0.0000 0.5000 0.0000
Sn2 Sn 0.0000 0.0000 0.5000
Te1 Te 0.0000 0.0000 0.0000
Mg1 Mg 0.5000 0.0000 0.0000
P1 P 0.5000 0.5000 0.5000